# 1
InCuSn2Ge | PBE | optimized geometry

Properties
Total moment, μB per formula unit: 0.0
Final energy, eV for the cell shown: -14.41

Lattice parameters (Å, degrees): 5.6384 5.6384 5.1681 90.00 90.00 90.00
With the nearest neighbours (Å) after each atom.
Space group P4/mmm (No. 123)
Inequivalent atoms, fractional coordinates:
In  0.0000  0.0000  0.0000 [1 per cell]  2 Ge 2.58, 4 Sn 2.82
Cu  0.5000  0.5000  0.5000 [1 per cell]  8 Sn 3.82, 4 Ge 3.99
Sn  0.0000  0.5000  0.0000 [2 per cell]  2 In 2.82
Ge  0.0000  0.0000  0.5000 [1 per cell]  2 In 2.58


# 2
Sr2InCu3Ge4 | PBE | optimized geometry

Properties
Total moment, μB per formula unit: 0.0
Final energy, eV for the cell shown: -40.24

Lattice parameters (Å, degrees): 4.3270 4.3270 10.8669 90.00 90.00 90.00
With the nearest neighbours (Å) after each atom.
Space group P-4m2 (No. 115)
Inequivalent atoms, fractional coordinates:
Sr  0.0000  0.5000  0.2390 [2 per cell]  8 Ge 3.29-3.38, 6 Cu 3.31-3.57, 2 In 3.57
In  0.0000  0.0000  0.5000 [1 per cell]  4 Ge 2.71
Cu  0.0000  0.5000  0.8773 [2 per cell]  5 Ge 2.46-2.54
Cu  0.5000  0.5000  0.5000 [1 per cell]  4 Ge 2.71
Ge  0.0000  0.0000  0.0000 [1 per cell]  4 Cu 2.54
Ge  0.0000  0.5000  0.6507 [2 per cell]  3 Cu 2.46-2.71, 2 In 2.71
Ge  0.5000  0.5000  0.0000 [1 per cell]  4 Cu 2.54


# 3
Sr2InCu4Ge3 | PBE | optimized geometry

Properties
Total moment, μB per formula unit: 0.0
Final energy, eV for the cell shown: -39.43

Lattice parameters (Å, degrees): 4.3485 4.3485 10.4665 90.00 90.00 90.00
With the nearest neighbours (Å) after each atom.
Space group P-4m2 (No. 115)
Inequivalent atoms, fractional coordinates:
Sr  0.0000  0.5000  0.2364 [2 per cell]  8 Cu 3.29-3.32, 6 Ge 3.31-3.51, 2 In 3.51
In  0.0000  0.0000  0.5000 [1 per cell]  4 Cu 2.65
Cu  0.0000  0.0000  0.0000 [1 per cell]  4 Ge 2.51
Cu  0.0000  0.5000  0.6443 [2 per cell]  3 Ge 2.47-2.65, 2 In 2.65
Cu  0.5000  0.5000  0.0000 [1 per cell]  4 Ge 2.51
Ge  0.0000  0.5000  0.8799 [2 per cell]  5 Cu 2.47-2.51
Ge  0.5000  0.5000  0.5000 [1 per cell]  4 Cu 2.65


# 4
Tb2InCu4Ge3 | PBE | optimized geometry

Properties
Total moment, μB per formula unit: 0.0
Final energy, eV for the cell shown: -46.62

Lattice parameters (Å, degrees): 4.1298 4.1298 10.5196 90.00 90.00 90.00
With the nearest neighbours (Å) after each atom.
Space group P-4m2 (No. 115)
Inequivalent atoms, fractional coordinates:
Tb  0.0000  0.5000  0.2289 [2 per cell]  4 Ge 3.11, 8 Cu 3.17-3.19
In  0.0000  0.0000  0.5000 [1 per cell]  4 Cu 2.59
Cu  0.0000  0.0000  0.0000 [1 per cell]  4 Ge 2.46
Cu  0.0000  0.5000  0.6492 [2 per cell]  3 Ge 2.35-2.59, 2 In 2.59
Cu  0.5000  0.5000  0.0000 [1 per cell]  4 Ge 2.46
Ge  0.0000  0.5000  0.8724 [2 per cell]  5 Cu 2.35-2.46
Ge  0.5000  0.5000  0.5000 [1 per cell]  4 Cu 2.59


# 5
InCu2GeTe4 | PBE | optimized geometry

Properties
Formation energy (no corrections), eV per atom: -0.14
Total moment, μB per formula unit: 0.0

Lattice parameters (Å, degrees): 6.2859 6.2859 12.4354 90.00 90.00 90.00
With the nearest neighbours (Å) after each atom.
Space group I-42m (No. 121)
Inequivalent atoms, fractional coordinates:
In  0.0000  0.0000  0.0000 [2 per cell]  4 Te 2.86
Cu  0.0000  0.5000  0.2500 [4 per cell]  4 Te 2.60
Ge  0.0000  0.0000  0.5000 [2 per cell]  4 Te 2.80
Te  0.2458  0.2458  0.6412 [8 per cell]  2 Cu 2.60, 1 Ge 2.80, 1 In 2.86


# 6
TiInCu2Ge | PBE | optimized geometry

Properties
Total moment, μB per formula unit: 0.0
Final energy, eV for the cell shown: -21.98

Lattice parameters (Å, degrees): 4.4727 4.4727 4.8801 90.00 90.00 90.00
With the nearest neighbours (Å) after each atom.
Space group P4/mmm (No. 123)
Inequivalent atoms, fractional coordinates:
Ti  0.0000  0.0000  0.0000 [1 per cell]  2 Ge 2.44
In  0.5000  0.5000  0.0000 [1 per cell]  4 Ti 3.16, 8 Cu 3.31
Cu  0.0000  0.5000  0.5000 [2 per cell]  2 Ge 2.24
Ge  0.0000  0.0000  0.5000 [1 per cell]  4 Cu 2.24, 2 Ti 2.44


# 7
TlIn2CuGe | PBE | optimized geometry

Properties
Total moment, μB per formula unit: 0.0
Final energy, eV for the cell shown: -15.57

Lattice parameters (Å, degrees): 5.2482 5.2482 4.6977 90.00 90.00 90.00
With the nearest neighbours (Å) after each atom.
Space group P4/mmm (No. 123)
Inequivalent atoms, fractional coordinates:
Tl  0.0000  0.0000  0.0000 [1 per cell]  8 In 3.52, 4 Ge 3.71
In  0.0000  0.5000  0.5000 [2 per cell]  2 Cu 2.62
Cu  0.5000  0.5000  0.5000 [1 per cell]  2 Ge 2.35, 4 In 2.62
Ge  0.5000  0.5000  0.0000 [1 per cell]  2 Cu 2.35


# 8
Cu2GeIr | PBE | optimized geometry

Properties
Total moment, μB per formula unit: 0.0
Final energy, eV for the cell shown: -83.33

Lattice parameters (Å, degrees): 3.5858 3.5858 18.3091 90.00 90.00 90.00
With the nearest neighbours (Å) after each atom.
Space group I-42d (No. 122)
Inequivalent atoms, fractional coordinates:
Cu  0.2466  0.2500  0.1250 [8 per cell]  4 Cu 2.52-2.55, 2 Ir 2.61, 2 Ge 2.62
Ge  0.0000  0.0000  0.5000 [4 per cell]  4 Ir 2.54, 4 Cu 2.62
Ir  0.0000  0.0000  0.0000 [4 per cell]  4 Ge 2.54, 4 Cu 2.61


# 9
CuGe3Ir | PBE | optimized geometry

Properties
Total moment, μB per formula unit: 0.0
Offset from the most stable computed form, eV/atom: 0.000

Lattice parameters (Å, degrees): 4.8104 4.8104 4.8104 90.00 90.00 90.00
With the nearest neighbours (Å) after each atom.
Space group Pm-3m (No. 221)
Inequivalent atoms, fractional coordinates:
Cu  0.0000  0.0000  0.0000 [1 per cell]  12 Ge 3.40
Ge  0.0000  0.5000  0.5000 [3 per cell]  2 Ir 2.41
Ir  0.5000  0.5000  0.5000 [1 per cell]  6 Ge 2.41


# 10
CuGeIr | PBE | optimized geometry

Properties
Total moment, μB per formula unit: 0.0
Offset from the most stable computed form, eV/atom: 0.025

Lattice parameters (Å, degrees): 5.8203 5.8203 5.8203 90.00 90.00 90.00
With the nearest neighbours (Å) after each atom.
Space group F-43m (No. 216)
Inequivalent atoms, fractional coordinates:
Cu  0.0000  0.0000  0.0000 [4 per cell]  4 Ir 2.52
Ge  0.0000  0.0000  0.5000 [4 per cell]  4 Ir 2.52
Ir  0.2500  0.2500  0.7500 [4 per cell]  4 Ge 2.52, 4 Cu 2.52


# 11
CuGeIr3 | PBE | optimized geometry

Properties
Total moment, μB per formula unit: 0.0
Offset from the most stable computed form, eV/atom: 0.203

Lattice parameters (Å, degrees): 4.4864 4.4864 4.4864 90.00 90.00 90.00
With the nearest neighbours (Å) after each atom.
Space group Pm-3m (No. 221)
Inequivalent atoms, fractional coordinates:
Cu  0.0000  0.0000  0.0000 [1 per cell]  6 Ir 2.24
Ge  0.5000  0.5000  0.5000 [1 per cell]  12 Ir 3.17
Ir  0.0000  0.0000  0.5000 [3 per cell]  2 Cu 2.24


# 12
Cu3GeIr | PBE | optimized geometry

Properties
Total moment, μB per formula unit: 0.0
Offset from the most stable computed form, eV/atom: 0.055

Lattice parameters (Å, degrees): 4.6453 4.6453 4.6453 90.00 90.00 90.00
With the nearest neighbours (Å) after each atom.
Space group Pm-3m (No. 221)
Inequivalent atoms, fractional coordinates:
Cu  0.0000  0.0000  0.5000 [3 per cell]  2 Ir 2.32
Ge  0.5000  0.5000  0.5000 [1 per cell]  12 Cu 3.28
Ir  0.0000  0.0000  0.0000 [1 per cell]  6 Cu 2.32


# 13
CuGeIr | PBE | optimized geometry

Properties
Total moment, μB per formula unit: 0.0
Offset from the most stable computed form, eV/atom: 0.033

Lattice parameters (Å, degrees): 3.1236 3.1236 8.5757 90.00 90.00 90.00
With the nearest neighbours (Å) after each atom.
Space group I4mm (No. 107)
Inequivalent atoms, fractional coordinates:
Cu  0.0000  0.0000  0.0000 [2 per cell]  4 Ge 2.58, 5 Ir 2.70-2.73
Ge  0.0000  0.0000  0.6558 [2 per cell]  4 Cu 2.58, 5 Ir 2.61-2.89
Ir  0.0000  0.0000  0.3189 [2 per cell]  5 Ge 2.61-2.89, 5 Cu 2.70-2.73